PBE Cs2LiHg2, optimized geometry; space group = No. 72; ΔE to the lowest computed polymorph = 0.0 meV/atom
1.0
-4.008 7.750 3.794
4.008 -7.750 3.794
4.008 7.750 -3.794
Cs Li Hg
4 2 4
Direct
0.148 0.176 0.323 Cs
0.352 0.676 0.028 Cs
0.648 0.324 0.972 Cs
0.852 0.824 0.677 Cs
0.250 0.750 0.500 Li
0.750 0.250 0.500 Li
0.098 0.680 0.778 Hg
0.402 0.180 0.582 Hg
0.598 0.820 0.418 Hg
0.902 0.320 0.222 Hg

PBE CsLi2Hg2, optimized geometry; space group = No. 139; ΔE to the lowest computed polymorph = 0.0 meV/atom
1.0
4.957 0.000 0.000
0.000 4.957 0.000
0.000 0.000 12.582
Cs Li Hg
2 4 4
Direct
0.000 0.000 0.000 Cs
0.500 0.500 0.500 Cs
0.000 0.500 0.250 Li
0.000 0.500 0.750 Li
0.500 0.000 0.250 Li
0.500 0.000 0.750 Li
0.000 0.000 0.367 Hg
0.000 0.000 0.633 Hg
0.500 0.500 0.133 Hg
0.500 0.500 0.867 Hg

PBE Cs2LiHg2, optimized geometry; space group = No. 139; ΔE to the lowest computed polymorph = 57.9 meV/atom
1.0
7.462 0.000 0.000
0.000 7.462 0.000
0.000 0.000 8.622
Cs Li Hg
4 2 4
Direct
0.000 0.500 0.250 Cs
0.000 0.500 0.750 Cs
0.500 0.000 0.250 Cs
0.500 0.000 0.750 Cs
0.000 0.000 0.000 Li
0.500 0.500 0.500 Li
0.000 0.000 0.327 Hg
0.000 0.000 0.673 Hg
0.500 0.500 0.173 Hg
0.500 0.500 0.827 Hg

PBE CsLi3Hg, optimized geometry; space group = No. 221; ΔE to the lowest computed polymorph = 0.0 meV/atom
1.0
5.527 0.000 0.000
0.000 5.527 0.000
0.000 0.000 5.527
Cs Li Hg
1 3 1
Direct
0.000 0.000 0.000 Cs
0.000 0.500 0.500 Li
0.500 0.000 0.500 Li
0.500 0.500 0.000 Li
0.500 0.500 0.500 Hg

PBE Cs2LiHg10, optimized geometry; space group = No. 55; total DFT energy (no corrections) = -8.904 eV per formula unit
1.0
9.232 0.000 0.000
0.000 13.471 0.000
0.000 0.000 7.479
Cs Li Hg
4 2 20
Direct
0.048 0.181 0.000 Cs
0.452 0.681 0.000 Cs
0.548 0.319 0.000 Cs
0.952 0.819 0.000 Cs
0.000 0.500 0.500 Li
0.500 0.000 0.500 Li
0.072 0.301 0.500 Hg
0.102 0.899 0.500 Hg
0.168 0.459 0.195 Hg
0.168 0.459 0.805 Hg
0.245 0.621 0.500 Hg
0.255 0.121 0.500 Hg
0.332 0.959 0.195 Hg
0.332 0.959 0.805 Hg
0.398 0.399 0.500 Hg
0.428 0.801 0.500 Hg
0.572 0.199 0.500 Hg
0.602 0.601 0.500 Hg
0.668 0.041 0.195 Hg
0.668 0.041 0.805 Hg
0.745 0.879 0.500 Hg
0.755 0.379 0.500 Hg
0.832 0.541 0.195 Hg
0.832 0.541 0.805 Hg
0.898 0.101 0.500 Hg
0.928 0.699 0.500 Hg

PBE Cs3Li5Hg12, optimized geometry; space group = No. 230; total DFT energy (no corrections) = -18.740 eV per formula unit
1.0
-9.058 9.058 9.058
9.058 -9.058 9.058
9.058 9.058 -9.058
Cs Li Hg
12 20 48
Direct
0.125 0.250 0.375 Cs
0.125 0.375 0.750 Cs
0.250 0.375 0.125 Cs
0.250 0.875 0.625 Cs
0.375 0.125 0.250 Cs
0.375 0.750 0.125 Cs
0.625 0.250 0.875 Cs
0.625 0.875 0.750 Cs
0.750 0.125 0.375 Cs
0.750 0.625 0.875 Cs
0.875 0.625 0.250 Cs
0.875 0.750 0.625 Cs
0.000 0.000 0.000 Li
0.000 0.000 0.500 Li
0.000 0.500 0.000 Li
0.000 0.500 0.500 Li
0.125 0.750 0.875 Li
0.125 0.875 0.250 Li
0.250 0.125 0.875 Li
0.250 0.625 0.375 Li
0.375 0.250 0.625 Li
0.375 0.625 0.750 Li
0.500 0.000 0.000 Li
0.500 0.000 0.500 Li
0.500 0.500 0.000 Li
0.500 0.500 0.500 Li
0.625 0.375 0.250 Li
0.625 0.750 0.375 Li
0.750 0.375 0.625 Li
0.750 0.875 0.125 Li
0.875 0.125 0.750 Li
0.875 0.250 0.125 Li
0.025 0.567 0.864 Hg
0.025 0.958 0.161 Hg
0.042 0.703 0.067 Hg
0.042 0.839 0.975 Hg
0.067 0.042 0.703 Hg
0.067 0.525 0.364 Hg
0.136 0.661 0.703 Hg
0.136 0.975 0.433 Hg
0.161 0.025 0.958 Hg
0.161 0.636 0.203 Hg
0.203 0.161 0.636 Hg
0.203 0.542 0.567 Hg
0.297 0.864 0.339 Hg
0.297 0.933 0.958 Hg
0.339 0.297 0.864 Hg
0.339 0.542 0.475 Hg
0.364 0.067 0.525 Hg
0.364 0.797 0.839 Hg
0.433 0.136 0.975 Hg
0.433 0.797 0.458 Hg
0.458 0.433 0.797 Hg
0.458 0.525 0.661 Hg
0.475 0.339 0.542 Hg
0.475 0.636 0.933 Hg
0.525 0.364 0.067 Hg
0.525 0.661 0.458 Hg
0.542 0.475 0.339 Hg
0.542 0.567 0.203 Hg
0.567 0.203 0.542 Hg
0.567 0.864 0.025 Hg
0.636 0.203 0.161 Hg
0.636 0.933 0.475 Hg
0.661 0.458 0.525 Hg
0.661 0.703 0.136 Hg
0.703 0.067 0.042 Hg
0.703 0.136 0.661 Hg
0.797 0.458 0.433 Hg
0.797 0.839 0.364 Hg
0.839 0.364 0.797 Hg
0.839 0.975 0.042 Hg
0.864 0.025 0.567 Hg
0.864 0.339 0.297 Hg
0.933 0.475 0.636 Hg
0.933 0.958 0.297 Hg
0.958 0.161 0.025 Hg
0.958 0.297 0.933 Hg
0.975 0.042 0.839 Hg
0.975 0.433 0.136 Hg

PBE CsLiHg3, optimized geometry; space group = No. 1; ΔE to the lowest computed polymorph = 0.0 meV/atom
1.0
5.935 0.000 0.000
-0.009 7.492 0.000
-0.269 -3.717 7.138
Cs Li Hg
2 2 6
Direct
0.000 0.000 0.000 Cs
0.000 0.293 0.589 Cs
0.364 0.749 0.497 Li
0.634 0.544 0.091 Li
0.132 0.558 0.116 Hg
0.498 0.349 0.298 Hg
0.500 0.147 0.794 Hg
0.500 0.646 0.794 Hg
0.501 0.945 0.291 Hg
0.866 0.735 0.473 Hg

PBE CsLiHg14, optimized geometry; space group = No. 38; total DFT energy (no corrections) = -8.291 eV per formula unit
1.0
9.423 0.000 0.000
0.000 3.198 8.328
0.000 -3.198 8.328
Cs Li Hg
1 1 14
Direct
0.000 0.000 0.000 Cs
0.000 0.339 0.339 Li
0.000 0.466 0.945 Hg
0.000 0.945 0.466 Hg
0.247 0.105 0.606 Hg
0.247 0.606 0.105 Hg
0.253 0.593 0.593 Hg
0.301 0.130 0.130 Hg
0.500 0.461 0.461 Hg
0.500 0.504 0.971 Hg
0.500 0.971 0.504 Hg
0.500 0.971 0.971 Hg
0.699 0.130 0.130 Hg
0.747 0.593 0.593 Hg
0.753 0.105 0.606 Hg
0.753 0.606 0.105 Hg

PBE CsLi2Hg9, optimized geometry; space group = No. 191; total DFT energy (no corrections) = -9.582 eV per formula unit
1.0
9.311 0.000 0.000
-4.656 8.064 0.000
0.000 0.000 4.423
Cs Li Hg
1 2 9
Direct
0.000 0.000 0.000 Cs
0.333 0.667 0.000 Li
0.667 0.333 0.000 Li
0.000 0.500 0.000 Hg
0.205 0.410 0.500 Hg
0.205 0.795 0.500 Hg
0.410 0.205 0.500 Hg
0.500 0.000 0.000 Hg
0.500 0.500 0.000 Hg
0.590 0.795 0.500 Hg
0.795 0.205 0.500 Hg
0.795 0.590 0.500 Hg

PBE Cs2LiHg2, optimized geometry; space group = No. 127; ΔE to the lowest computed polymorph = 144.2 meV/atom
1.0
10.899 0.000 0.000
0.000 10.899 0.000
0.000 0.000 4.135
Cs Li Hg
4 2 4
Direct
0.184 0.316 0.000 Cs
0.316 0.816 0.000 Cs
0.684 0.184 0.000 Cs
0.816 0.684 0.000 Cs
0.000 0.000 0.000 Li
0.500 0.500 0.000 Li
0.104 0.604 0.500 Hg
0.396 0.104 0.500 Hg
0.604 0.896 0.500 Hg
0.896 0.396 0.500 Hg

PBE CsLiHg, optimized geometry; space group = No. 107; total DFT energy (no corrections) = -3.390 eV per formula unit
1.0
4.055 0.000 0.000
0.000 4.055 0.000
0.000 0.000 13.249
Cs Li Hg
2 2 2
Direct
0.000 0.000 0.000 Cs
0.500 0.500 0.500 Cs
0.000 0.000 0.260 Li
0.500 0.500 0.760 Li
0.000 0.000 0.714 Hg
0.500 0.500 0.214 Hg

PBE CsLiHg3, optimized geometry; space group = No. 221; ΔE to the lowest computed polymorph = 21.6 meV/atom
1.0
5.494 0.000 0.000
0.000 5.494 0.000
0.000 0.000 5.494
Cs Li Hg
1 1 3
Direct
0.000 0.000 0.000 Cs
0.500 0.500 0.500 Li
0.000 0.500 0.500 Hg
0.500 0.000 0.500 Hg
0.500 0.500 0.000 Hg

PBE CsLi3Hg, optimized geometry; space group = No. 221; ΔE to the lowest computed polymorph = 817.7 meV/atom
1.0
6.458 0.000 0.000
0.000 6.458 0.000
0.000 0.000 6.458
Cs Li Hg
1 3 1
Direct
0.000 0.000 0.000 Cs
0.000 0.000 0.500 Li
0.000 0.500 0.000 Li
0.500 0.000 0.000 Li
0.500 0.500 0.500 Hg

PBE Cs2LiHg7, optimized geometry; space group = No. 139; total DFT energy (no corrections) = -7.751 eV per formula unit
1.0
-3.997 3.997 5.666
3.997 -3.997 5.666
3.997 3.997 -5.666
Cs Li Hg
2 1 7
Direct
0.250 0.750 0.500 Cs
0.750 0.250 0.500 Cs
0.000 0.000 0.000 Li
0.236 0.236 0.000 Hg
0.236 0.236 0.472 Hg
0.236 0.764 0.000 Hg
0.500 0.500 0.000 Hg
0.764 0.236 0.000 Hg
0.764 0.764 0.000 Hg
0.764 0.764 0.528 Hg

PBE CsLiHg6, optimized geometry; space group = No. 12; total DFT energy (no corrections) = -6.170 eV per formula unit
1.0
11.261 0.000 0.000
0.000 7.518 0.000
-2.564 0.000 5.859
Cs Li Hg
2 2 12
Direct
0.000 0.000 0.000 Cs
0.500 0.500 0.000 Cs
0.000 0.500 0.500 Li
0.500 0.000 0.500 Li
0.127 0.500 0.978 Hg
0.164 0.211 0.623 Hg
0.164 0.789 0.623 Hg
0.336 0.289 0.377 Hg
0.336 0.711 0.377 Hg
0.373 0.000 0.022 Hg
0.627 0.000 0.978 Hg
0.664 0.289 0.623 Hg
0.664 0.711 0.623 Hg
0.836 0.211 0.377 Hg
0.836 0.789 0.377 Hg
0.873 0.500 0.022 Hg

PBE CsLi2Hg10, optimized geometry; space group = No. 69; total DFT energy (no corrections) = -9.928 eV per formula unit
1.0
0.000 6.876 8.501
3.059 0.000 8.501
3.059 6.876 0.000
Cs Li Hg
1 2 10
Direct
0.000 0.000 0.000 Cs
0.000 0.500 0.000 Li
0.500 0.000 0.500 Li
0.000 0.000 0.500 Hg
0.020 0.341 0.659 Hg
0.258 0.487 0.513 Hg
0.341 0.020 0.980 Hg
0.487 0.258 0.742 Hg
0.500 0.500 0.000 Hg
0.513 0.742 0.258 Hg
0.659 0.980 0.020 Hg
0.742 0.513 0.487 Hg
0.980 0.659 0.341 Hg